VASP calculation (GGA-PBE) on an optimized crystal structure of Rb2Ir4O.

Properties
SG = I4/mmm
calculated total energy = -4.7589 eV per atom

Cell lengths 4.1608, 4.1608, 10.5907 Å; angles 78.67, 78.67, 90.00 degrees
Each line ends with the local moment (μB).
Sites, in units of the cell vectors:
O (0.0000, 0.0000, 0.0000)  0.04
Rb (0.6700, 0.6700, 0.6601)  0.01
Rb (0.3300, 0.3300, 0.3399)  0.01
Ir (0.9011, 0.9011, 0.1977)  0.45
Ir (0.5000, 0.0000, 0.0000)  0.33
Ir (0.0000, 0.5000, 0.0000)  0.33
Ir (0.0989, 0.0989, 0.8023)  0.45